[1]
# K2MgAs

A geometry-optimized K2MgAs structure (PBE-GGA, Alexandria).

```
data_K2MgAs
_space_group_name_H-M_alt 'P 4/m m m'
_space_group_IT_number 123
_space_group_name_Hall '-P 4 2'
_cell_length_a 5.8943
_cell_length_b 5.8943
_cell_length_c 3.7807
_cell_angle_alpha 90.00
_cell_angle_beta 90.00
_cell_angle_gamma 90.00
loop_
_atom_site_label
_atom_site_fract_x
_atom_site_fract_y
_atom_site_fract_z
K1 0.0000 0.5000 0.0000
Mg1 0.0000 0.0000 0.5000
As1 0.5000 0.5000 0.5000
```

Summary:
Size of the total moment in μB per formula unit: 0.00
DFT formation energy in eV/atom: 0.071
VASP energy in eV per formula unit: -8.2
Calculated density in kg/m³: 2243



[2]
# K2MgAs

A geometry-optimized K2MgAs structure (PBE-GGA, Alexandria).

```
data_K2MgAs
_space_group_name_H-M_alt 'R -3 m'
_space_group_IT_number 166
_space_group_name_Hall '-R 3 2"'
_cell_length_a 3.6160
_cell_length_b 3.6160
_cell_length_c 35.6670
_cell_angle_alpha 90.00
_cell_angle_beta 90.00
_cell_angle_gamma 120.00
loop_
_atom_site_label
_atom_site_fract_x
_atom_site_fract_y
_atom_site_fract_z
K1 0.0000 0.0000 0.2368
Mg1 0.0000 0.0000 0.0000
As1 0.0000 0.0000 0.5000
```

Summary:
Size of the total moment in μB per formula unit: 0.00
DFT formation energy in eV/atom: 0.174
VASP energy in eV per formula unit: -7.7
Calculated density in kg/m³: 2188



[3]
# K2MgAs2

A geometry-optimized K2MgAs2 structure (PBE-GGA, Alexandria).

```
data_K2MgAs2
_space_group_name_H-M_alt 'P 4/m m m'
_space_group_IT_number 123
_space_group_name_Hall '-P 4 2'
_cell_length_a 3.3884
_cell_length_b 3.3884
_cell_length_c 15.2888
_cell_angle_alpha 90.00
_cell_angle_beta 90.00
_cell_angle_gamma 90.00
loop_
_atom_site_label
_atom_site_fract_x
_atom_site_fract_y
_atom_site_fract_z
K1 0.0000 0.0000 0.1341
Mg1 0.0000 0.0000 0.5000
As1 0.0000 0.0000 0.3360
```

Summary:
Size of the total moment in μB per formula unit: 0.00
DFT formation energy in eV/atom: 0.316
VASP energy in eV per formula unit: -11.5
Calculated density in kg/m³: 2387



[4]
# K2MgAs

A geometry-optimized K2MgAs structure (PBE-GGA, Alexandria).

```
data_K2MgAs
_space_group_name_H-M_alt 'C m m m'
_space_group_IT_number 65
_space_group_name_Hall '-C 2 2'
_cell_length_a 7.1463
_cell_length_b 9.5644
_cell_length_c 3.7746
_cell_angle_alpha 90.00
_cell_angle_beta 90.00
_cell_angle_gamma 90.00
loop_
_atom_site_label
_atom_site_fract_x
_atom_site_fract_y
_atom_site_fract_z
K1 0.2500 0.2500 0.0000
Mg1 0.0000 0.0000 0.5000
As1 0.0000 0.5000 0.5000
```

Summary:
Size of the total moment in μB per formula unit: 0.00
DFT formation energy in eV/atom: 0.066
VASP energy in eV per formula unit: -8.2
Calculated density in kg/m³: 2284



[5]
# K2MgAs

A geometry-optimized K2MgAs structure (PBE-GGA, Alexandria).

```
data_K2MgAs
_space_group_name_H-M_alt 'I -4 2 d'
_space_group_IT_number 122
_space_group_name_Hall 'I -4 2bw'
_cell_length_a 4.7147
_cell_length_b 4.7147
_cell_length_c 23.6851
_cell_angle_alpha 90.00
_cell_angle_beta 90.00
_cell_angle_gamma 90.00
loop_
_atom_site_label
_atom_site_fract_x
_atom_site_fract_y
_atom_site_fract_z
K1 0.2303 0.2500 0.1250
Mg1 0.0000 0.0000 0.5000
As1 0.0000 0.0000 0.0000
```

Summary:
Size of the total moment in μB per formula unit: 0.00
DFT formation energy in eV/atom: 0.183
VASP energy in eV per formula unit: -7.7
Calculated density in kg/m³: 2238



[6]
# K2MgAs

A geometry-optimized K2MgAs structure (PBE-GGA, Alexandria).

```
data_K2MgAs
_space_group_name_H-M_alt 'P 4/m m m'
_space_group_IT_number 123
_space_group_name_Hall '-P 4 2'
_cell_length_a 4.7473
_cell_length_b 4.7473
_cell_length_c 5.3245
_cell_angle_alpha 90.00
_cell_angle_beta 90.00
_cell_angle_gamma 90.00
loop_
_atom_site_label
_atom_site_fract_x
_atom_site_fract_y
_atom_site_fract_z
K1 0.0000 0.5000 0.0000
Mg1 0.0000 0.0000 0.5000
As1 0.5000 0.5000 0.5000
```

Summary:
Size of the total moment in μB per formula unit: 0.34
DFT formation energy in eV/atom: -0.005
VASP energy in eV per formula unit: -8.5
Calculated density in kg/m³: 2455



[7]
# K4MgAs

A geometry-optimized K4MgAs structure (PBE-GGA, Alexandria).

```
data_K4MgAs
_space_group_name_H-M_alt 'F -4 3 m'
_space_group_IT_number 216
_space_group_name_Hall 'F -4 2 3'
_cell_length_a 9.9651
_cell_length_b 9.9651
_cell_length_c 9.9651
_cell_angle_alpha 90.00
_cell_angle_beta 90.00
_cell_angle_gamma 90.00
loop_
_atom_site_label
_atom_site_fract_x
_atom_site_fract_y
_atom_site_fract_z
K1 0.1234 0.1234 0.3766
Mg1 0.0000 0.0000 0.0000
As1 0.2500 0.2500 0.7500
```

Summary:
Size of the total moment in μB per formula unit: 0.00
DFT formation energy in eV/atom: 0.337
VASP energy in eV per formula unit: -8.6
Calculated density in kg/m³: 1716



[8]
# K2MgAs

A geometry-optimized K2MgAs structure (PBE-GGA, Alexandria).

```
data_K2MgAs
_space_group_name_H-M_alt 'P 4 m m'
_space_group_IT_number 99
_cell_length_a 3.8936
_cell_length_b 3.8936
_cell_length_c 10.0664
_cell_angle_alpha 90.00
_cell_angle_beta 90.00
_cell_angle_gamma 90.00
loop_
_space_group_symop_operation_xyz
'x,y,z'
'-y,x,z'
'-x,-y,z'
'y,-x,z'
'-x,y,z'
'y,x,z'
'x,-y,z'
'-y,-x,z'
loop_
_atom_site_label
_atom_site_fract_x
_atom_site_fract_y
_atom_site_fract_z
K1 0.0000 0.0000 0.0000
K2 0.5000 0.5000 0.3947
Mg1 0.0000 0.0000 0.6838
As1 0.5000 0.5000 0.7289
```

Summary:
Size of the total moment in μB per formula unit: 0.00
DFT formation energy in eV/atom: -0.167
VASP energy in eV per formula unit: -9.1
Calculated density in kg/m³: 1931



- What is the size of the total moment in the eighth record?
  0.00 μB per formula unit



- The highest DFT formation energy belongs to which entry?
  K4MgAs



- The lowest DFT formation energy belongs to which entry?
  number 8



- What is the calculated density in the fifth record?
  2238 kg/m³